VASP calculation (PBE-GGA) on a geometry-optimized PaMn5Ge3 structure.

```
PaMn5Ge3
1.0
2.041 -5.944 0.000
2.041 5.944 0.000
0.000 0.000 11.132
Pa Mn Ge
2 10 6
Direct
0.178 0.822 0.750
0.822 0.178 0.250
0.000 0.000 0.000
0.000 0.000 0.500
0.197 0.803 0.036
0.197 0.803 0.464
0.409 0.591 0.635
0.409 0.591 0.865
0.591 0.409 0.135
0.591 0.409 0.365
0.803 0.197 0.536
0.803 0.197 0.964
0.116 0.884 0.250
0.394 0.606 0.079
0.394 0.606 0.421
0.606 0.394 0.579
0.606 0.394 0.921
0.884 0.116 0.750
```

Results
The value obtained for the calculated total energy is -70.390 eV per formula unit. The space-group type is Cmcm (63). For the theoretical density, the calculation gives 8.90 g/cm3. The calculation puts the energy relative to the elements at -133 meV/atom.

=====

VASP calculation (PBE-GGA) on a geometry-optimized Pa2Mn2Ge structure.

```
Pa2Mn2Ge
1.0
-2.111 2.796 3.741
2.111 -2.796 3.741
2.111 2.796 -3.741
Pa Mn Ge
2 2 1
Direct
0.199 0.199 0.000
0.801 0.801 0.000
0.258 0.500 0.758
0.742 0.500 0.242
0.500 0.000 0.500
```

Results
The value obtained for the calculated total energy is -43.189 eV per formula unit. The space-group type is Immm (71). For the theoretical density, the calculation gives 12.12 g/cm3. The calculation puts the energy relative to the elements at -248 meV/atom.